The following is a DFT calculation (SCAN) of HfCdAs2Pb at its PBEsol-relaxed geometry.

POSCAR file:
```
HfCdAs2Pb
1.0
5.259 0.000 0.000
0.000 5.259 0.000
0.000 0.000 5.156
Hf Cd As Pb
1 1 2 1
Direct
0.000 0.000 0.000 Hf
0.500 0.500 0.000 Cd
0.000 0.500 0.500 As
0.500 0.000 0.500 As
0.500 0.500 0.500 Pb
```

Results
As for the symmetry: No. 123. The crystal system is tetragonal. The energy of formation is 1293 meV/atom.

=====

The following is a DFT calculation (SCAN) of LaCdP2 at its PBEsol-relaxed geometry.

POSCAR file:
```
LaCdP2
1.0
-2.043 2.043 5.023
2.043 -2.043 5.023
2.043 2.043 -5.023
La Cd P
1 1 2
Direct
0.000 0.000 0.000 La
0.250 0.750 0.500 Cd
0.500 0.500 0.000 P
0.750 0.250 0.500 P
```

Results
As for the symmetry: No. 119. The crystal system is tetragonal. The offset from the most stable computed form comes out at 0.093 eV/atom. The energy of formation is -506 meV/atom.

=====

The following is a DFT calculation (SCAN) of KLaP at its PBEsol-relaxed geometry.

POSCAR file:
```
KLaP
1.0
0.000 3.545 3.545
3.545 0.000 3.545
3.545 3.545 0.000
K La P
1 1 1
Direct
0.000 0.000 0.000 K
0.500 0.500 0.500 La
0.750 0.750 0.750 P
```

Results
As for the symmetry: No. 216. The crystal system is cubic. The energy of formation is -698 meV/atom.

=====

The following is a DFT calculation (SCAN) of Mg3GaB at its PBEsol-relaxed geometry.

POSCAR file:
```
Mg3GaB
1.0
4.526 0.000 0.000
0.000 4.526 0.000
0.000 0.000 4.526
Mg Ga B
3 1 1
Direct
0.000 0.000 0.500 Mg
0.000 0.500 0.000 Mg
0.500 0.000 0.000 Mg
0.500 0.500 0.500 Ga
0.000 0.000 0.000 B
```

Results
As for the symmetry: No. 221. The crystal system is cubic. The energy of formation is 163 meV/atom.

=====

The following is a DFT calculation (SCAN) of TiCo at its PBEsol-relaxed geometry.

POSCAR file:
```
TiCo
1.0
2.936 0.000 0.000
0.000 2.936 0.000
0.000 0.000 2.936
Ti Co
1 1
Direct
0.000 0.000 0.000 Ti
0.500 0.500 0.500 Co
```

Results
As for the symmetry: No. 221. The crystal system is cubic. The energy of formation is -468 meV/atom.

=====

The following is a DFT calculation (SCAN) of FeAgPt2 at its PBEsol-relaxed geometry.

POSCAR file:
```
FeAgPt2
1.0
3.258 0.000 0.000
0.000 3.258 0.000
0.000 0.000 5.610
Fe Ag Pt
1 1 2
Direct
0.000 0.000 0.000 Fe
0.500 0.500 0.732 Ag
0.000 0.000 0.472 Pt
0.500 0.500 0.208 Pt
```

Results
As for the symmetry: No. 99. The crystal system is tetragonal. The energy of formation is 13 meV/atom.

=====

The following is a DFT calculation (SCAN) of Sr2SeCl at its PBEsol-relaxed geometry.

POSCAR file:
```
Sr2SeCl
1.0
3.742 0.000 0.000
0.000 3.742 0.000
0.000 0.000 7.390
Sr Se Cl
2 1 1
Direct
0.000 0.000 0.236 Sr
0.000 0.000 0.764 Sr
0.500 0.500 0.000 Se
0.500 0.500 0.500 Cl
```

Results
As for the symmetry: No. 123. The calculation puts the energy relative to the elements, uncorrected at -1.777 eV/atom. The crystal system is tetragonal. The offset from the most stable computed form comes out at 0.232 eV/atom.

=====

The following is a DFT calculation (SCAN) of H2Ru2O at its PBEsol-relaxed geometry.

POSCAR file:
```
H2Ru2O
1.0
5.322 0.000 0.000
0.000 5.322 0.000
0.000 0.000 2.709
H Ru O
4 4 2
Direct
0.124 0.376 0.000 H
0.376 0.876 0.000 H
0.624 0.124 0.000 H
0.876 0.624 0.000 H
0.192 0.692 0.500 Ru
0.308 0.192 0.500 Ru
0.692 0.808 0.500 Ru
0.808 0.308 0.500 Ru
0.000 0.000 0.000 O
0.500 0.500 0.000 O
```

Results
As for the symmetry: No. 127. The crystal system is tetragonal.

=====

The following is a DFT calculation (SCAN) of LaTaMo2 at its PBEsol-relaxed geometry.

POSCAR file:
```
LaTaMo2
1.0
-1.943 1.943 4.984
1.943 -1.943 4.984
1.943 1.943 -4.984
La Ta Mo
1 1 2
Direct
0.000 0.000 0.000 La
0.250 0.750 0.500 Ta
0.500 0.500 0.000 Mo
0.750 0.250 0.500 Mo
```

Results
As for the symmetry: No. 119. The crystal system is tetragonal. The offset from the most stable computed form comes out at 0.405 eV/atom. The energy of formation is 781 meV/atom.

=====

The following is a DFT calculation (SCAN) of KZnSn3 at its PBEsol-relaxed geometry.

POSCAR file:
```
KZnSn3
1.0
5.807 0.000 0.000
0.000 5.807 0.000
0.000 0.000 5.807
K Zn Sn
1 1 3
Direct
0.000 0.000 0.000 K
0.500 0.500 0.500 Zn
0.000 0.000 0.500 Sn
0.000 0.500 0.000 Sn
0.500 0.000 0.000 Sn
```

Results
As for the symmetry: No. 221. The crystal system is cubic. The energy of formation is 1372 meV/atom.

=====

The following is a DFT calculation (SCAN) of Be3ClO at its PBEsol-relaxed geometry.

POSCAR file:
```
Be3ClO
1.0
4.029 0.000 0.000
0.000 4.029 0.000
0.000 0.000 4.029
Be Cl O
3 1 1
Direct
0.000 0.000 0.500 Be
0.000 0.500 0.000 Be
0.500 0.000 0.000 Be
0.000 0.000 0.000 Cl
0.500 0.500 0.500 O
```

Results
As for the symmetry: No. 221. The calculation puts the energy relative to the elements, uncorrected at 1.540 eV/atom. The crystal system is cubic.

=====

The following is a DFT calculation (SCAN) of KAgSe at its PBEsol-relaxed geometry.

POSCAR file:
```
KAgSe
1.0
4.429 0.000 0.000
0.000 4.429 0.000
0.000 0.000 7.625
K Ag Se
2 2 2
Direct
0.250 0.250 0.161 K
0.750 0.750 0.839 K
0.250 0.750 0.500 Ag
0.750 0.250 0.500 Ag
0.250 0.250 0.715 Se
0.750 0.750 0.285 Se
```

Results
As for the symmetry: No. 129. The calculation puts the energy relative to the elements, uncorrected at -0.774 eV/atom. The crystal system is tetragonal.

=====

| no. | spin magnetization (μB/atom) | calculated volume (A^3/atom) | total energy (eV/atom) |
| --- | --- | --- | --- |
| 1 | 0.000 | 28.5 | -40.557 |
| 2 | 0.000 | 21.0 | -24.085 |
| 3 | 0.000 | 29.7 | -21.309 |
| 4 | 0.000 | 18.5 | -7.577 |
| 5 | 0.448 | 12.7 | -17.135 |
| 6 | 0.968 | 14.9 | -47.458 |
| 7 | 0.000 | 25.9 | -19.929 |
| 8 | 0.000 | 7.7 | -16.004 |
| 9 | 0.000 | 18.8 | -44.084 |
| 10 | 0.000 | 39.2 | -24.550 |
| 11 | 0.175 | 13.1 | -3.914 |
| 12 | 0.000 | 24.9 | -20.699 |